## Ac2Tl3CoO6 (PBE+U)

Data for an optimized crystal structure of Ac2Tl3CoO6.

Results
For the volume, the calculation gives 18.58 Å³/atom. The total energy comes out at -69.6 eV for the cell shown. The space-group type is No. 12.

Cell lengths 6.2675, 6.2675, 6.7865 Å; angles 99.85, 99.85, 117.63 degrees
Closest atoms and distances in Å follow each position.
Positions (direct):
Ac  0.3319  0.6681  0.0000  6 O 2.49-2.60
Ac  0.6681  0.3319  0.0000  6 O 2.49-2.60
Tl  0.1564  0.8436  0.5000  2 O 2.59
Tl  0.8436  0.1564  0.5000  2 O 2.59
Tl  0.5000  0.5000  0.5000  6 O 2.84-2.92
Co  0.0000  0.0000  0.0000  4 O 2.01
O  0.9374  0.6618  0.8480  1 Co 2.01
O  0.7566  0.7566  0.2321  1 Co 2.57, 3 Tl 2.59-2.84, 2 Ac 2.60
O  0.0626  0.3382  0.1520  1 Co 2.01
O  0.6618  0.9374  0.8480  1 Co 2.01
O  0.2434  0.2434  0.7679  1 Co 2.57, 3 Tl 2.59-2.84, 2 Ac 2.60
O  0.3382  0.0626  0.1520  1 Co 2.01